1.
Below is SiIrPb2 after structural relaxation, with properties calculated at the GGA-PBE level.

Computed properties:
The value obtained for the formation energy (no corrections) is 532 meV per atom. The space group is No. 10.

abc: 3.2556 3.3005 8.7265
angles: 67.58 90.00 90.00
Element x y z (fractional)
1 Ir 0.5000 0.7500 0.7500
2 Pb 0.0000 0.0229 0.9764
3 Pb 0.0000 0.4771 0.5236
4 Si 0.5000 0.2500 0.2500

---

2.
Below is KCdTc2 after structural relaxation, with properties calculated at the GGA-PBE level.

Computed properties:
The space group is No. 10. The value obtained for the formation energy is 4.40 eV per formula unit.

abc: 5.4275 2.7238 5.3682
angles: 83.39 90.00 90.00
Element x y z (fractional)
1 Cd 0.5000 0.2500 0.2500
2 K 0.5000 0.7500 0.7500
3 Tc 0.0000 0.0970 0.9735
4 Tc 0.0000 0.4030 0.5265

---

3.
Below is FeHgBr2 after structural relaxation, with properties calculated at the GGA-PBE level.

Computed properties:
The value obtained for the formation energy (no corrections) is 101 meV per atom. The calculation puts the excess energy over the best structure of this formula in the dataset at 0.300 eV/atom. The space group is No. 122.

abc: 7.2728 7.2728 7.0615
angles: 59.01 59.01 90.00
Element x y z (fractional)
1 Hg 0.0000 0.0000 0.0000
2 Hg 0.7500 0.2500 0.5000
3 Br 0.4774 0.1250 0.2500
4 Br 0.2726 0.6250 0.2500
5 Br 0.3750 0.5226 0.7500
6 Br 0.8750 0.7274 0.7500
7 Fe 0.5000 0.5000 0.0000
8 Fe 0.2500 0.7500 0.5000

---

4.
Below is CeYHgPd after structural relaxation, with properties calculated at the GGA-PBE level.

Computed properties:
The space group is No. 216. The value obtained for the formation energy is -2.04 eV per formula unit.

abc: 5.1926 5.1926 5.1926
angles: 60.00 60.00 60.00
Element x y z (fractional)
1 Y 0.7500 0.7500 0.7500
2 Pd 0.0000 0.0000 0.0000
3 Hg 0.5000 0.5000 0.5000
4 Ce 0.2500 0.2500 0.2500